No. 1
A plane-wave DFT calculation with PBE was carried out for crystalline Ba3CeNd2Te6 at its relaxed geometry.

Lattice parameters (Å, degrees): 8.0952 8.0952 8.3581 99.29 99.29 119.93
Last column: nearest neighbours and their distance in Å.
Positions (direct):
1 Ba 0.1670 0.8330 0.5000  6 Te 3.46-3.47
2 Ba 0.8330 0.1670 0.5000  6 Te 3.46-3.47
3 Ba 0.5000 0.5000 0.5000  6 Te 3.47
4 Ce 0.0000 0.0000 0.0000  6 Te 3.23
5 Nd 0.3336 0.6664 0.0000  6 Te 3.23
6 Nd 0.6664 0.3336 0.0000  6 Te 3.23
7 Te 0.9251 0.5915 0.7751  2 Nd 3.23, 1 Ce 3.23, 3 Ba 3.46-3.47
8 Te 0.7415 0.7415 0.2250  2 Nd 3.23, 1 Ce 3.23, 3 Ba 3.47
9 Te 0.0749 0.4085 0.2249  2 Nd 3.23, 1 Ce 3.23, 3 Ba 3.46-3.47
10 Te 0.5915 0.9251 0.7751  2 Nd 3.23, 1 Ce 3.23, 3 Ba 3.46-3.47
11 Te 0.2585 0.2585 0.7750  2 Nd 3.23, 1 Ce 3.23, 3 Ba 3.47
12 Te 0.4085 0.0749 0.2249  2 Nd 3.23, 1 Ce 3.23, 3 Ba 3.46-3.47

Final energy: -58.83 eV per formula unit
E_form (uncorrected): -1562 meV/atom
Size of the total moment: 1.460 μB/f.u.
Space group: C2/m (12)

No. 2
A plane-wave DFT calculation with PBE was carried out for crystalline Sc2In2Hg at its relaxed geometry.

Lattice parameters (Å, degrees): 3.2572 4.4627 8.1514 74.11 90.00 90.00
Last column: nearest neighbours and their distance in Å.
Positions (direct):
1 Sc 0.5000 0.3950 0.2101  4 In 3.09, 4 Hg 3.22, 3 Sc 3.26-3.29
2 Sc 0.5000 0.6050 0.7899  4 In 3.09, 4 Hg 3.22, 3 Sc 3.26-3.29
3 In 0.0000 0.1934 0.6132  2 In 2.85, 1 Hg 3.03, 4 Sc 3.09
4 In 0.0000 0.8066 0.3868  2 In 2.85, 1 Hg 3.03, 4 Sc 3.09
5 Hg 0.0000 0.0000 0.0000  2 In 3.03, 8 Sc 3.22, 2 Hg 3.26

Final energy: -19.98 eV per formula unit
Size of the total moment: 0.131 μB/f.u.
Polymorph energy (0 for the lowest one): 0 kJ/mol of formula units
Space group: Cmmm (65)
DFT formation energy: -29.6 kJ per mole of atoms

No. 3
A plane-wave DFT calculation with PBE was carried out for crystalline Ac2SmOsO8 at its relaxed geometry.

Lattice parameters (Å, degrees): 5.2950 5.4017 7.1791 89.97 89.93 90.70
Last column: nearest neighbours and their distance in Å.
Positions (direct):
1 Ac 0.4956 0.4964 0.7553  6 O 2.36-2.60
2 Ac 0.5044 0.5036 0.2447  6 O 2.36-2.60
3 Sm 0.0000 0.0000 0.5000  6 O 2.27-2.50
4 Os 0.0000 0.0000 0.0000  6 O 1.85-1.95
5 O 0.1643 0.8226 0.2030  1 Os 1.95
6 O 0.7449 0.7627 0.9960  1 Os 1.85
7 O 0.8304 0.1715 0.2035  1 Os 1.95
8 O 0.8357 0.1774 0.7970  1 Os 1.95
9 O 0.2551 0.2373 0.0040  1 Os 1.85
10 O 0.1696 0.8285 0.7965  1 Os 1.95
11 O 0.6940 0.7011 0.5026  1 Sm 2.27, 2 Ac 2.36
12 O 0.3060 0.2989 0.4974  1 Sm 2.27, 2 Ac 2.36

Final energy: -92.65 eV per formula unit
E_form (uncorrected): -2402 meV/atom
Size of the total moment: 1.035 μB/f.u.
Space group: P-1 (2)

No. 4
A plane-wave DFT calculation with PBE was carried out for crystalline Ce3Pm2ThSe6 at its relaxed geometry.

Lattice parameters (Å, degrees): 4.1947 8.4101 9.3958 103.04 102.90 90.00
Last column: nearest neighbours and their distance in Å.
Positions (direct):
1 Ce 0.5000 0.5000 0.0000  6 Se 2.96-2.98
2 Ce 0.8340 0.1661 0.6680  6 Se 2.97-2.98
3 Ce 0.1660 0.8339 0.3320  6 Se 2.97-2.98
4 Pm 0.8338 0.6672 0.6675  6 Se 2.95-2.97
5 Pm 0.1662 0.3328 0.3325  6 Se 2.95-2.97
6 Th 0.5000 0.0000 0.0000  6 Se 2.98-2.99
7 Se 0.3324 0.9149 0.6647  2 Pm 2.96, 3 Ce 2.97, 1 Th 2.99
8 Se 0.6672 0.5834 0.3345  3 Pm 2.97, 3 Ce 2.98
9 Se 0.6676 0.0851 0.3353  2 Pm 2.96, 3 Ce 2.97, 1 Th 2.99
10 Se 0.0006 0.2521 0.0012  1 Pm 2.95, 3 Ce 2.96-2.97, 2 Th 2.98
11 Se 0.9994 0.7479 0.9988  1 Pm 2.95, 3 Ce 2.96-2.97, 2 Th 2.98
12 Se 0.3328 0.4166 0.6655  3 Pm 2.97, 3 Ce 2.98

Final energy: -77.02 eV per formula unit
E_form (uncorrected): -1783 meV/atom
Size of the total moment: 2.848 μB/f.u.
Space group: C2/m (12)

| no. | N(E_F) (states/eV per atom) |
| --- | --- |
| 1 | 1.02 |
| 2 | 0.90 |
| 3 | 0.20 |
| 4 | 1.68 |